[1]
Compound: DyErPt2
Source: the Alexandria database
Functional: PBE-GGA
Structure: optimized geometry

Geometry as CIF:
```
data_DyErPt2
_cell_length_a 4.443
_cell_length_b 3.763
_cell_length_c 10.532
_cell_angle_alpha 90.00
_cell_angle_beta 90.00
_cell_angle_gamma 90.00
_symmetry_space_group_name_H-M 'A m m 2'
_symmetry_Int_Tables_number 38
_symmetry_space_group_name_Hall 'A 2 -2'
loop_
_atom_site_label
_atom_site_type_symbol
_atom_site_fract_x
_atom_site_fract_y
_atom_site_fract_z
_atom_site_occupancy
Dy1 Dy 0.000 0.000 0.000 1
Er1 Er 0.500 0.000 0.723 1
Pt1 Pt 0.000 0.000 0.273 1
Pt2 Pt 0.500 0.000 0.449 1
```

Summary:
- E (eV for the cell shown) = -52.87
- energy relative to the lowest polymorph listed for this composition (meV per atom) = 0.0
- crystal system = orthorhombic

[2]
Compound: NbOs2Cl
Source: the Alexandria database
Functional: PBE-GGA
Structure: optimized geometry

Geometry as CIF:
```
data_NbOs2Cl
_cell_length_a 6.369
_cell_length_b 6.369
_cell_length_c 6.369
_cell_angle_alpha 90.00
_cell_angle_beta 90.00
_cell_angle_gamma 90.00
_symmetry_space_group_name_H-M 'F m -3 m'
_symmetry_Int_Tables_number 225
_symmetry_space_group_name_Hall '-F 4 2 3'
loop_
_atom_site_label
_atom_site_type_symbol
_atom_site_fract_x
_atom_site_fract_y
_atom_site_fract_z
_atom_site_occupancy
Nb1 Nb 0.000 0.000 0.000 1
Os1 Os 0.250 0.250 0.250 1
Cl1 Cl 0.000 0.000 0.500 1
```

Summary:
- E (eV for the cell shown) = -121.36
- energy relative to the lowest polymorph listed for this composition (meV per atom) = 0.0
- energy relative to the elements, uncorrected (eV per atom) = 1.0087
- crystal system = cubic

[3]
Compound: HfHPd2Rh
Source: the Alexandria database
Functional: PBE-GGA
Structure: optimized geometry

Geometry as CIF:
```
data_HfHPd2Rh
_cell_length_a 3.977
_cell_length_b 3.977
_cell_length_c 4.153
_cell_angle_alpha 90.00
_cell_angle_beta 90.00
_cell_angle_gamma 90.00
_symmetry_space_group_name_H-M 'P 4/m m m'
_symmetry_Int_Tables_number 123
_symmetry_space_group_name_Hall '-P 4 2'
loop_
_atom_site_label
_atom_site_type_symbol
_atom_site_fract_x
_atom_site_fract_y
_atom_site_fract_z
_atom_site_occupancy
Hf1 Hf 0.000 0.000 0.000 1
H1 H 0.500 0.500 0.500 1
Pd1 Pd 0.000 0.500 0.500 1
Rh1 Rh 0.500 0.500 0.000 1
```

Summary:
- E (eV for the cell shown) = -34.39
- energy relative to the lowest polymorph listed for this composition (meV per atom) = 0.0
- crystal system = tetragonal

[4]
Compound: La3Ir
Source: the Alexandria database
Functional: PBE-GGA
Structure: optimized geometry

Geometry as CIF:
```
data_La3Ir
_cell_length_a 7.484
_cell_length_b 7.484
_cell_length_c 7.484
_cell_angle_alpha 90.00
_cell_angle_beta 90.00
_cell_angle_gamma 90.00
_symmetry_space_group_name_H-M 'F m -3 m'
_symmetry_Int_Tables_number 225
_symmetry_space_group_name_Hall '-F 4 2 3'
loop_
_atom_site_label
_atom_site_type_symbol
_atom_site_fract_x
_atom_site_fract_y
_atom_site_fract_z
_atom_site_occupancy
La1 La 0.000 0.000 0.000 1
La2 La 0.250 0.250 0.250 1
Ir1 Ir 0.000 0.000 0.500 1
```

Summary:
- E (eV for the cell shown) = -95.79
- crystal system = cubic

[5]
Compound: Er12Pd5Rh2
Source: the Alexandria database
Functional: PBE-GGA
Structure: optimized geometry

Geometry as CIF:
```
data_Er12Pd5Rh2
_cell_length_a 16.189
_cell_length_b 7.357
_cell_length_c 8.724
_cell_angle_alpha 90.00
_cell_angle_beta 104.96
_cell_angle_gamma 90.00
_symmetry_space_group_name_H-M 'C 1 2/m 1'
_symmetry_Int_Tables_number 12
_symmetry_space_group_name_Hall '-C 2y'
loop_
_atom_site_label
_atom_site_type_symbol
_atom_site_fract_x
_atom_site_fract_y
_atom_site_fract_z
_atom_site_occupancy
Er1 Er 0.002 0.000 0.240 1
Er2 Er 0.012 0.500 0.311 1
Er3 Er 0.150 0.257 0.065 1
Er4 Er 0.170 0.237 0.598 1
Pd1 Pd 0.000 0.500 0.000 1
Pd2 Pd 0.190 0.000 0.336 1
Pd3 Pd 0.202 0.000 0.864 1
Rh1 Rh 0.000 0.208 0.500 1
```

Summary:
- E (eV for the cell shown) = -214.00
- crystal system = monoclinic

[6]
Compound: Ga2SnPt
Source: the Alexandria database
Functional: PBE-GGA
Structure: optimized geometry

Geometry as CIF:
```
data_Ga2SnPt
_cell_length_a 4.359
_cell_length_b 4.359
_cell_length_c 17.212
_cell_angle_alpha 90.00
_cell_angle_beta 90.00
_cell_angle_gamma 90.00
_symmetry_space_group_name_H-M 'I -4 2 d'
_symmetry_Int_Tables_number 122
_symmetry_space_group_name_Hall 'I -4 2bw'
loop_
_atom_site_label
_atom_site_type_symbol
_atom_site_fract_x
_atom_site_fract_y
_atom_site_fract_z
_atom_site_occupancy
Ga1 Ga 0.186 0.250 0.125 1
Sn1 Sn 0.000 0.000 0.500 1
Pt1 Pt 0.000 0.000 0.000 1
```

Summary:
- E (eV for the cell shown) = -67.80
- crystal system = tetragonal

[7]
Compound: Pr2GaHg4
Source: the Alexandria database
Functional: PBE-GGA
Structure: optimized geometry

Geometry as CIF:
```
data_Pr2GaHg4
_cell_length_a 5.3179
_cell_length_b 5.3179
_cell_length_c 22.3047
_cell_angle_alpha 90.00
_cell_angle_beta 90.00
_cell_angle_gamma 120.00
_symmetry_space_group_name_H-M 'R -3 m'
_symmetry_Int_Tables_number 166
_symmetry_space_group_name_Hall '-R 3 2"'
loop_
_atom_site_label
_atom_site_type_symbol
_atom_site_fract_x
_atom_site_fract_y
_atom_site_fract_z
_atom_site_occupancy
Pr1 Pr 0.0000 0.0000 0.2225 1
Ga1 Ga 0.0000 0.0000 0.5000 1
Hg1 Hg 0.0000 0.0000 0.0709 1
Hg2 Hg 0.0000 0.0000 0.3686 1
```

Summary:
- E (eV for the cell shown) = -48.76
- crystal system = trigonal

[8]
Compound: TaRu
Source: the Alexandria database
Functional: PBE-GGA
Structure: optimized geometry

Geometry as CIF:
```
data_TaRu
_cell_length_a 3.172
_cell_length_b 3.172
_cell_length_c 6.469
_cell_angle_alpha 90.00
_cell_angle_beta 90.00
_cell_angle_gamma 90.00
_symmetry_space_group_name_H-M 'P 4/n m m'
_symmetry_Int_Tables_number 129
loop_
_symmetry_equiv_pos_as_xyz
'x,y,z'
'-x,-y,-z'
'-y+1/2,x,z'
'y+1/2,-x,-z'
'-x+1/2,-y+1/2,z'
'x+1/2,y+1/2,-z'
'y,-x+1/2,z'
'-y,x+1/2,-z'
'x+1/2,-y,-z'
'-x+1/2,y,z'
'-y,-x,-z'
'y,x,z'
'-x,y+1/2,-z'
'x,-y+1/2,z'
'y+1/2,x+1/2,-z'
'-y+1/2,-x+1/2,z'
loop_
_atom_site_label
_atom_site_type_symbol
_atom_site_fract_x
_atom_site_fract_y
_atom_site_fract_z
_atom_site_occupancy
Ta1 Ta 0.250 0.250 0.141 1
Ru1 Ru 0.250 0.250 0.644 1
```

Summary:
- E (eV for the cell shown) = -43.02
- crystal system = tetragonal